(1)
A plane-wave DFT calculation with GGA-PBE was carried out for a relaxed ThTiPt crystal.

Calculated values
The value obtained for the calculated formation energy is -0.6212 eV per atom. For the excess energy over the best structure of this formula in the dataset, the calculation gives 0.000 eV per atom. As for the crystal system: trigonal. As for the density of states at the Fermi level: 3.1 states/eV per cell. As for the space-group type: P3m1.

Unit cell a=4.210 b=4.370 c=4.370 alpha=120.00 beta=90.00 gamma=90.00
Fractional positions:
Pt: 0.167 0.000 0.000
Th: 0.666 0.667 0.333
Ti: 0.166 0.333 0.667



(2)
A plane-wave DFT calculation with GGA-PBE was carried out for a relaxed ThTiPt crystal.

Calculated values
The value obtained for the calculated formation energy is -0.3383 eV per atom. For the excess energy over the best structure of this formula in the dataset, the calculation gives 0.283 eV per atom. As for the crystal system: orthorhombic. As for the density of states at the Fermi level: 6.5 states/eV per cell. As for the space-group type: Fmmm.

Unit cell a=6.784 b=4.941 c=6.807 alpha=69.99 beta=60.11 gamma=46.64
Fractional positions:
Ti: 0.750 0.500 0.500
Ti: 0.250 0.500 0.500
Th: 0.776 0.449 0.000
Th: 0.224 0.551 0.000
Pt: 0.672 0.000 0.656
Pt: 0.328 0.000 0.344



(3)
A plane-wave DFT calculation with GGA-PBE was carried out for a relaxed Th4TlPt crystal.

Calculated values
The value obtained for the calculated formation energy is -0.4062 eV per atom. As for the crystal system: tetragonal. As for the density of states at the Fermi level: 13.7 states/eV per cell. As for the space-group type: P4/mcc.

Unit cell a=5.924 b=7.634 c=7.634 alpha=90.00 beta=90.00 gamma=90.00
Fractional positions:
Th: 0.000 0.169 0.645
Th: 0.000 0.831 0.355
Th: 0.000 0.355 0.169
Th: 0.000 0.645 0.831
Th: 0.500 0.831 0.645
Th: 0.500 0.169 0.355
Th: 0.500 0.645 0.169
Th: 0.500 0.355 0.831
Tl: 0.250 0.000 0.000
Tl: 0.750 0.000 0.000
Pt: 0.250 0.500 0.500
Pt: 0.750 0.500 0.500



(4)
A plane-wave DFT calculation with GGA-PBE was carried out for a relaxed ThTlPt4 crystal.

Calculated values
The value obtained for the calculated formation energy is -0.7908 eV per atom. As for the crystal system: cubic. As for the density of states at the Fermi level: 3.1 states/eV per cell. As for the space-group type: F-43m.

Unit cell a=5.479 b=5.479 c=5.479 alpha=60.00 beta=60.00 gamma=60.00
Fractional positions:
Tl: 0.000 0.000 0.000
Pt: 0.625 0.625 0.124
Pt: 0.625 0.124 0.625
Pt: 0.625 0.625 0.625
Pt: 0.124 0.625 0.625
Th: 0.250 0.250 0.250



(5)
A plane-wave DFT calculation with GGA-PBE was carried out for a relaxed ThTl2Pt9 crystal.

Calculated values
The value obtained for the calculated formation energy is -0.4536 eV per atom. As for the crystal system: trigonal. As for the density of states at the Fermi level: 5.9 states/eV per cell. As for the space-group type: R-3m.

Unit cell a=5.455 b=5.455 c=9.342 alpha=73.03 beta=73.03 gamma=60.00
Fractional positions:
Th: 0.000 0.000 0.000
Tl: 0.858 0.858 0.427
Tl: 0.142 0.142 0.573
Pt: 0.667 0.667 0.000
Pt: 0.333 0.333 0.000
Pt: 0.500 0.500 0.500
Pt: 0.414 0.414 0.252
Pt: 0.919 0.414 0.252
Pt: 0.414 0.919 0.252
Pt: 0.586 0.586 0.748
Pt: 0.586 0.081 0.748
Pt: 0.081 0.586 0.748



(6)
A plane-wave DFT calculation with GGA-PBE was carried out for a relaxed ThTlPt10 crystal.

Calculated values
The value obtained for the calculated formation energy is -0.4202 eV per atom. As for the crystal system: orthorhombic. As for the density of states at the Fermi level: 8.5 states/eV per cell. As for the space-group type: Pmmm.

Unit cell a=4.426 b=5.461 c=9.319 alpha=90.00 beta=90.00 gamma=90.00
Fractional positions:
Th: 0.000 0.000 0.000
Tl: 0.000 0.500 0.500
Pt: 0.000 0.000 0.335
Pt: 0.000 0.500 0.829
Pt: 0.000 0.500 0.171
Pt: 0.000 0.000 0.665
Pt: 0.500 0.000 0.500
Pt: 0.500 0.500 0.000
Pt: 0.500 0.245 0.243
Pt: 0.500 0.755 0.757
Pt: 0.500 0.755 0.243
Pt: 0.500 0.245 0.757